Y2TmSb (PBE, optimized geometry); energy = -23.495 eV/f.u.; magnetic moment = 0.0 μB per cell; mass density = 6.80 g cm⁻³; uncorrected formation energy = -2.0 eV per formula unit; volume = 114.4 Å³ per cell; offset from the most stable computed form = 0.0 meV/atom
1.0
4.131 0.000 0.000
0.000 4.131 0.000
0.000 0.000 6.701
Y Tm Sb
2 1 1
direct
0.000 0.000 0.237 Y
0.000 0.000 0.763 Y
0.500 0.500 0.500 Tm
0.500 0.500 0.000 Sb